(1)
A relaxed structure of CrCuTcCl2. Source: Alexandria, functional PBE.

Cell: 4.548 4.678 4.548 Å, 90.00 90.00 90.00°
Fractional positions:
Cu: 0.500 0.500 0.500
Tc: 0.000 0.500 0.000
Cl: 0.500 0.000 0.000
Cl: 0.000 0.000 0.500
Cr: 0.000 0.000 0.000

Values from the calculation:
- polymorph energy (0 for the lowest one) (meV per atom) = 0
- formation energy without anion corrections (eV per formula unit) = 4.3
- size of the total moment (μB/atom) = 0.674

---

(2)
A relaxed structure of CrCuTcCl2. Source: Alexandria, functional PBE.

Cell: 4.318 5.232 4.318 Å, 90.00 90.00 90.00°
Fractional positions:
Cl: 0.000 0.000 0.500
Cl: 0.500 0.000 0.000
Tc: 0.000 0.500 0.000
Cu: 0.000 0.000 0.000
Cr: 0.500 0.500 0.500

Values from the calculation:
- polymorph energy (0 for the lowest one) (meV per atom) = 650
- formation energy without anion corrections (eV per formula unit) = 7.5
- size of the total moment (μB/atom) = 0.402

---

(3)
A relaxed structure of TlCrCuCl6. Source: Alexandria, functional PBE.

Cell: 6.287 6.286 7.129 Å, 89.99 89.99 59.99°
Fractional positions:
Cl: 0.375 0.637 0.311
Cl: 0.987 0.637 0.689
Cl: 0.375 0.988 0.689
Cl: 0.987 0.375 0.311
Cl: 0.637 0.988 0.311
Cl: 0.637 0.375 0.689
Cu: 0.333 0.333 0.500
Cr: 0.667 0.667 0.500
Tl: 0.000 0.000 0.000

Values from the calculation:
- formation energy without anion corrections (eV per formula unit) = -7.8
- size of the total moment (μB/atom) = 0.221

---

(4)
A relaxed structure of TlCrCuCl5. Source: Alexandria, functional PBE.

Cell: 7.098 7.098 9.072 Å, 102.88 102.88 107.69°
Fractional positions:
Cl: 0.065 0.935 0.250
Cl: 0.096 0.713 0.906
Cl: 0.226 0.361 0.571
Cl: 0.287 0.904 0.594
Cl: 0.904 0.287 0.094
Cl: 0.713 0.096 0.406
Cl: 0.935 0.065 0.750
Cl: 0.361 0.226 0.071
Cl: 0.774 0.639 0.429
Cl: 0.639 0.774 0.929
Cr: 0.000 0.000 0.000
Cr: 0.000 0.000 0.500
Cu: 0.309 0.691 0.750
Cu: 0.691 0.309 0.250
Tl: 0.344 0.656 0.250
Tl: 0.656 0.344 0.750

Values from the calculation:
- formation energy without anion corrections (eV per formula unit) = -7.2
- size of the total moment (μB/atom) = 0.368

---

(5)
A relaxed structure of Tl3Cr2CuCl9. Source: Alexandria, functional PBE.

Cell: 6.981 6.981 8.558 Å, 90.00 90.00 120.00°
Fractional positions:
Cl: 0.500 0.500 0.000
Cl: 0.169 0.338 0.329
Cl: 0.169 0.831 0.329
Cl: 0.662 0.831 0.329
Cl: 0.000 0.500 0.000
Cl: 0.500 0.000 0.000
Cl: 0.831 0.169 0.671
Cl: 0.831 0.662 0.671
Cl: 0.338 0.169 0.671
Cr: 0.667 0.333 0.830
Cr: 0.333 0.667 0.170
Cu: 0.000 0.000 0.500
Tl: 0.333 0.667 0.655
Tl: 0.000 0.000 0.000
Tl: 0.667 0.333 0.345

Values from the calculation:
- formation energy without anion corrections (eV per formula unit) = -14.0
- size of the total moment (μB/atom) = 0.467

---

(6)
A relaxed structure of Dy2CrCl8. Source: Alexandria, functional PBE.

Cell: 8.023 7.224 7.224 Å, 54.22 94.60 94.60°
Fractional positions:
Cl: 0.123 0.365 0.868
Cl: 0.123 0.868 0.365
Cl: 0.480 0.330 0.330
Cl: 0.520 0.670 0.670
Cl: 0.877 0.635 0.132
Cl: 0.320 0.922 0.922
Cl: 0.680 0.078 0.078
Cl: 0.877 0.132 0.635
Cr: 0.000 0.000 0.000
Dy: 0.626 0.863 0.863
Dy: 0.374 0.137 0.137

Values from the calculation:
- formation energy without anion corrections (eV per formula unit) = -19.9
- size of the total moment (μB/atom) = 0.364

---

(7)
A relaxed structure of DyCrCl6. Source: Alexandria, functional PBE.

Cell: 6.369 6.369 6.818 Å, 62.14 62.14 60.00°
Fractional positions:
Cr: 0.000 0.000 0.000
Cl: 0.915 0.619 0.236
Cl: 0.771 0.085 0.764
Cl: 0.085 0.381 0.764
Cl: 0.229 0.915 0.236
Cl: 0.619 0.229 0.236
Cl: 0.381 0.771 0.764
Dy: 0.500 0.500 0.500

Values from the calculation:
- formation energy without anion corrections (eV per formula unit) = -12.8
- size of the total moment (μB/atom) = 0.375

---

(8)
A relaxed structure of DyCrInCl6. Source: Alexandria, functional PBE.

Cell: 6.658 6.967 7.132 Å, 92.99 91.56 58.45°
Fractional positions:
Cl: 0.633 0.006 0.261
Cl: 0.978 0.638 0.703
Cl: 0.380 0.985 0.685
Cl: 0.380 0.636 0.315
Cl: 0.633 0.361 0.739
Cl: 0.978 0.384 0.297
In: 0.992 0.004 0.000
Cr: 0.673 0.664 0.500
Dy: 0.354 0.323 0.500

Values from the calculation:
- formation energy without anion corrections (eV per formula unit) = -13.6
- size of the total moment (μB/atom) = 0.444